[1]
Density functional theory data (PBE-GGA) for a geometry-optimized Pm6Dy2Er3Mg structure.

Results
DOS at the Fermi energy: 25.326 states/eV/cell
M_tot: 0.00 μB per formula unit
VASP energy: -4.40 eV/atom
energy relative to the elements: 0.24 eV per formula unit

Lattice parameters (Å, degrees): 6.191 10.731 11.725 90.00 100.18 90.00
Space group C2/m (No. 12)
Inequivalent atoms, fractional coordinates:
Pm  0.249  0.166  0.250 x8
Pm  0.250  0.000  0.749 x4
Dy  0.000  0.333  0.000 x4
Er  0.000  0.166  0.500 x4
Er  0.000  0.500  0.500 x2
Mg  0.000  0.000  0.000 x2

[2]
Density functional theory data (PBE-GGA) for a geometry-optimized SrH16O10 structure.

Results
energy relative to the lowest polymorph listed for this composition: 0.778 eV/f.u.
DOS at the Fermi energy: 0.000 states/eV/cell
M_tot: 0.11 μB per formula unit
VASP energy: -5.02 eV/atom

Lattice parameters (Å, degrees): 5.727 6.396 6.806 92.84 90.19 93.18
Space group P-1 (No. 2)
Inequivalent atoms, fractional coordinates:
Sr  0.000  0.000  0.000 x1
H  0.202  0.643  0.692 x2
H  0.203  0.325  0.692 x2
H  0.215  0.673  0.358 x2
H  0.217  0.312  0.367 x2
H  0.278  0.615  0.912 x2
H  0.279  0.921  0.323 x2
H  0.434  0.243  0.784 x2
H  0.437  0.227  0.244 x2
O  0.130  0.503  0.508 x2
O  0.263  0.253  0.807 x2
O  0.264  0.725  0.819 x2
O  0.271  0.191  0.278 x2
O  0.273  0.779  0.258 x2

[3]
Density functional theory data (PBE-GGA) for a geometry-optimized Ca2CuMoH structure.

Results
energy relative to the lowest polymorph listed for this composition: 2.281 eV/f.u.
DOS at the Fermi energy: 5.113 states/eV/cell
M_tot: 0.37 μB per formula unit
VASP energy: -3.29 eV/atom

Lattice parameters (Å, degrees): 5.590 5.590 4.566 90.00 90.00 90.00
Space group P4/mmm (No. 123)
Inequivalent atoms, fractional coordinates:
Ca  0.000  0.500  0.000 x2
Cu  0.000  0.000  0.500 x1
Mo  0.000  0.000  0.000 x1
H  0.500  0.500  0.500 x1

[4]
Density functional theory data (PBE-GGA) for a geometry-optimized Li2AlTl structure.

Results
DOS at the Fermi energy: 1.735 states/eV/cell
M_tot: 0.00 μB per formula unit
VASP energy: -2.57 eV/atom
energy relative to the elements: -0.36 eV per formula unit

Lattice parameters (Å, degrees): 9.853 3.100 5.131 90.00 98.38 90.00
Space group Cm (No. 8)
Inequivalent atoms, fractional coordinates:
Li  0.000  0.000  0.000 x2
Li  0.235  0.000  0.733 x2
Al  0.241  0.500  0.219 x2
Tl  0.487  0.000  0.501 x2